# Mg2Tl3SnCl9 (PBE-GGA, optimized geometry)
data_Mg2Tl3SnCl9
_symmetry_space_group_name_H-M 'P 1'
_symmetry_Int_Tables_number 1
_symmetry_space_group_name_Hall 'P 1'
_cell_length_a 7.270
_cell_length_b 7.270
_cell_length_c 9.352
_cell_angle_alpha 90.00
_cell_angle_beta 90.00
_cell_angle_gamma 120.00
loop_
_atom_site_label
_atom_site_fract_x
_atom_site_fract_y
_atom_site_fract_z
_atom_site_occupancy
Mg1 0.333 0.667 0.161 1
Mg2 0.667 0.333 0.839 1
Tl1 0.333 0.667 0.720 1
Tl2 0.000 0.000 0.000 1
Tl3 0.667 0.333 0.280 1
Sn1 0.000 0.000 0.500 1
Cl1 0.830 0.170 0.693 1
Cl2 0.830 0.659 0.693 1
Cl3 0.341 0.170 0.693 1
Cl4 0.659 0.830 0.307 1
Cl5 0.170 0.341 0.307 1
Cl6 0.170 0.830 0.307 1
Cl7 0.500 0.000 0.000 1
Cl8 0.000 0.500 0.000 1
Cl9 0.500 0.500 0.000 1
# **Formation energy without anion corrections**: -1.321 eV/atom
# **Space-group type**: No. 164